No. 1
{"formula": "Ce2TiIn", "functional": "GGA-PBE", "state": "optimized geometry", "de_polymorph_ev_per_atom": 0.000, "space_group": "P4/mmm", "cell": [[4.961, 0.000, 0.000], [0.000, 4.367, 0.000], [0.000, 0.000, 4.367]], "species": ["In", "Ce", "Ce", "Ti"], "frac_coords": [[0.500, 0.500, 0.500], [0.000, 0.000, 0.500], [0.000, 0.500, 0.000], [0.500, 0.000, 0.000]]}

---

No. 2
{"formula": "Ce2TiIn", "functional": "GGA-PBE", "state": "optimized geometry", "de_polymorph_ev_per_atom": 0.117, "space_group": "P4/mmm", "cell": [[3.899, 0.000, 0.000], [0.000, 3.899, 0.000], [0.000, 0.000, 6.888]], "species": ["Ce", "Ce", "In", "Ti"], "frac_coords": [[0.000, 0.000, 0.767], [0.000, 0.000, 0.233], [0.500, 0.500, 0.500], [0.500, 0.500, 0.000]]}

---

No. 3
{"formula": "CeTiIn2", "functional": "GGA-PBE", "state": "optimized geometry", "space_group": "P4/mmm", "cell": [[4.703, 0.000, 0.000], [0.000, 4.524, 0.000], [0.000, 0.000, 4.524]], "species": ["Ce", "In", "In", "Ti"], "frac_coords": [[0.500, 0.500, 0.500], [0.000, 0.500, 0.000], [0.000, 0.000, 0.500], [0.500, 0.000, 0.000]]}

---

No. 4
{"formula": "Ce2TiIn", "functional": "GGA-PBE", "state": "optimized geometry", "de_polymorph_ev_per_atom": 0.124, "space_group": "Fm-3m", "cell": [[5.325, 0.000, 0.000], [2.662, 4.611, 0.000], [2.662, 1.537, 4.347]], "species": ["Ti", "In", "Ce", "Ce"], "frac_coords": [[0.500, 0.500, 0.500], [0.000, 0.000, 0.000], [0.250, 0.250, 0.250], [0.750, 0.750, 0.750]]}

---

No. 5
{"formula": "CeTiIn2", "functional": "GGA-PBE", "state": "optimized geometry", "space_group": "R-3m", "cell": [[3.164, 0.000, 0.000], [1.582, 2.740, 0.000], [1.582, 0.913, 10.542]], "species": ["Ti", "Ce", "In", "In"], "frac_coords": [[0.000, 0.000, 0.000], [0.500, 0.500, 0.500], [0.258, 0.258, 0.227], [0.742, 0.742, 0.773]]}

---

No. 6
{"formula": "CeTmTiIn", "functional": "GGA-PBE", "state": "optimized geometry", "space_group": "F-43m", "cell": [[-2.115, 4.479, 1.776], [-3.559, 2.564, -2.907], [-5.040, 0.113, 1.508]], "species": ["Tm", "Ti", "In", "Ce"], "frac_coords": [[0.250, 0.250, 0.250], [0.000, 0.000, 0.000], [0.500, 0.500, 0.500], [0.750, 0.750, 0.750]]}

---

No. 7
{"formula": "CeTiZnIn", "functional": "GGA-PBE", "state": "optimized geometry", "space_group": "F-43m", "cell": [[-0.008, 0.218, 5.020], [-4.354, 0.221, 2.499], [-1.560, -3.951, 2.684]], "species": ["Ce", "In", "Zn", "Ti"], "frac_coords": [[0.250, 0.250, 0.250], [0.500, 0.500, 0.500], [0.000, 0.000, 0.000], [0.750, 0.750, 0.750]]}

---

No. 8
{"formula": "CeZrTiIn", "functional": "GGA-PBE", "state": "optimized geometry", "space_group": "F-43m", "cell": [[5.094, 0.000, 0.000], [2.547, 4.411, 0.000], [2.547, 1.470, 4.159]], "species": ["Ti", "Zr", "Ce", "In"], "frac_coords": [[0.250, 0.250, 0.250], [0.500, 0.500, 0.500], [0.000, 0.000, 0.000], [0.750, 0.750, 0.750]]}

---

No. 9
{"formula": "Ce5TlIn4", "functional": "GGA-PBE", "state": "optimized geometry", "space_group": "P4/mmm", "cell": [[4.162, 0.000, 0.000], [0.000, 4.162, 0.000], [0.000, 0.000, 16.391]], "species": ["In", "In", "In", "In", "Ce", "Ce", "Ce", "Ce", "Ce", "Tl"], "frac_coords": [[0.000, 0.000, 0.203], [0.000, 0.000, 0.599], [0.000, 0.000, 0.797], [0.000, 0.000, 0.401], [0.500, 0.500, 0.103], [0.500, 0.500, 0.698], [0.500, 0.500, 0.897], [0.500, 0.500, 0.302], [0.500, 0.500, 0.500], [0.000, 0.000, 0.000]]}

---

No. 10
{"formula": "Ce8TlIn2", "functional": "GGA-PBE", "state": "optimized geometry", "de_polymorph_ev_per_atom": 0.117, "space_group": "C2/m", "cell": [[-4.817, 0.310, 3.169], [-4.248, -7.437, 0.305], [1.563, -5.587, 5.940]], "species": ["In", "In", "Tl", "Ce", "Ce", "Ce", "Ce", "Ce", "Ce", "Ce", "Ce"], "frac_coords": [[0.000, 0.311, 0.378], [0.000, 0.689, 0.622], [0.500, 0.000, 0.000], [0.649, 0.593, 0.000], [0.500, 0.770, 0.460], [0.500, 0.230, 0.540], [0.910, 0.081, 0.194], [0.910, 0.275, 0.806], [0.090, 0.919, 0.806], [0.090, 0.725, 0.194], [0.351, 0.407, 0.000]]}

---

No. 11
{"formula": "Ce6Tl5In", "functional": "GGA-PBE", "state": "optimized geometry", "de_polymorph_ev_per_atom": 0.139, "space_group": "C2/m", "cell": [[-1.191, 3.788, 4.177], [4.722, -5.503, 8.945], [6.687, -0.441, 3.611]], "species": ["Ce", "Ce", "Ce", "Ce", "Ce", "Ce", "In", "Tl", "Tl", "Tl", "Tl", "Tl"], "frac_coords": [[0.250, 0.584, 0.332], [0.246, 0.250, 0.000], [0.750, 0.416, 0.668], [0.754, 0.750, 0.000], [0.750, 0.084, 0.332], [0.250, 0.916, 0.668], [0.000, 0.000, 0.000], [0.500, 0.500, 0.000], [0.000, 0.331, 0.338], [0.500, 0.164, 0.671], [0.500, 0.836, 0.329], [0.000, 0.669, 0.662]]}

---

No. 12
{"formula": "Ce2Tl5In", "functional": "GGA-PBE", "state": "optimized geometry", "space_group": "Pbam", "cell": [[4.798, 0.000, 0.000], [0.000, 6.804, 0.000], [0.000, 0.000, 13.605]], "species": ["In", "In", "Tl", "Tl", "Tl", "Tl", "Tl", "Tl", "Tl", "Tl", "Tl", "Tl", "Ce", "Ce", "Ce", "Ce"], "frac_coords": [[0.000, 0.500, 0.000], [0.000, 0.000, 0.500], [0.000, 0.998, 0.748], [0.000, 0.502, 0.248], [0.500, 0.246, 0.624], [0.000, 0.002, 0.252], [0.000, 0.000, 0.000], [0.500, 0.754, 0.376], [0.500, 0.746, 0.876], [0.000, 0.500, 0.500], [0.000, 0.498, 0.752], [0.500, 0.254, 0.124], [0.500, 0.248, 0.875], [0.500, 0.748, 0.625], [0.500, 0.752, 0.125], [0.500, 0.252, 0.375]]}

---

No. 13
{"formula": "Ce4TlIn5", "functional": "GGA-PBE", "state": "optimized geometry", "de_polymorph_ev_per_atom": 0.264, "space_group": "Pmmn", "cell": [[-7.462, 2.226, 2.533], [-3.583, -0.280, -10.309], [-1.642, -6.351, 0.743]], "species": ["In", "In", "In", "In", "In", "In", "In", "In", "In", "In", "Ce", "Ce", "Ce", "Ce", "Ce", "Ce", "Ce", "Ce", "Tl", "Tl"], "frac_coords": [[0.831, 0.297, 0.277], [0.169, 0.203, 0.223], [0.831, 0.703, 0.277], [0.831, 0.297, 0.723], [0.831, 0.703, 0.723], [0.155, 0.000, 0.500], [0.169, 0.203, 0.777], [0.845, 0.500, 0.000], [0.169, 0.797, 0.223], [0.169, 0.797, 0.777], [0.505, 0.173, 0.500], [0.180, 0.500, 0.280], [0.820, 0.000, 0.220], [0.495, 0.673, 0.000], [0.495, 0.327, 0.000], [0.505, 0.827, 0.500], [0.820, 0.000, 0.780], [0.180, 0.500, 0.720], [0.545, 0.500, 0.500], [0.455, 0.000, 0.000]]}

---

No. 14
{"formula": "Ce2Tl3In", "functional": "GGA-PBE", "state": "optimized geometry", "space_group": "Cmcm", "cell": [[6.324, 0.000, 0.000], [0.000, 7.173, 1.825], [0.000, -0.632, 7.375]], "species": ["Tl", "Tl", "Tl", "Tl", "Tl", "Tl", "In", "In", "Ce", "Ce", "Ce", "Ce"], "frac_coords": [[0.750, 0.539, 0.539], [0.500, 0.179, 0.821], [0.000, 0.179, 0.821], [0.000, 0.821, 0.179], [0.250, 0.461, 0.461], [0.500, 0.821, 0.179], [0.750, 0.797, 0.797], [0.250, 0.203, 0.203], [0.750, 0.412, 0.120], [0.250, 0.588, 0.880], [0.250, 0.880, 0.588], [0.750, 0.120, 0.412]]}

---

No. 15
{"formula": "CeTlIn4", "functional": "GGA-PBE", "state": "optimized geometry", "space_group": "F-43m", "cell": [[6.195, 0.000, 0.000], [3.097, 5.365, 0.000], [3.097, 1.788, 5.058]], "species": ["Tl", "In", "In", "In", "In", "Ce"], "frac_coords": [[0.000, 0.000, 0.000], [0.625, 0.625, 0.125], [0.125, 0.625, 0.625], [0.625, 0.625, 0.625], [0.625, 0.125, 0.625], [0.250, 0.250, 0.250]]}

---

No. 16
{"formula": "Ce3TlIn", "functional": "GGA-PBE", "state": "optimized geometry", "space_group": "P2_1/m", "cell": [[7.646, 0.000, -1.222], [0.000, 4.587, 0.000], [-4.234, 0.000, 8.834]], "species": ["In", "In", "Ce", "Ce", "Ce", "Ce", "Ce", "Ce", "Tl", "Tl"], "frac_coords": [[0.142, 0.250, 0.366], [0.858, 0.750, 0.634], [0.656, 0.250, 0.995], [0.433, 0.750, 0.642], [0.344, 0.750, 0.005], [0.567, 0.250, 0.358], [0.079, 0.750, 0.102], [0.921, 0.250, 0.898], [0.159, 0.250, 0.699], [0.841, 0.750, 0.301]]}

---

No. 17
{"formula": "Ce6Tl5In", "functional": "GGA-PBE", "state": "optimized geometry", "de_polymorph_ev_per_atom": 0.000, "space_group": "Cmmm", "cell": [[-3.127, -2.314, -2.979], [-4.857, -3.047, 7.466], [-5.756, 4.859, -1.762]], "species": ["Ce", "Ce", "Ce", "Ce", "Ce", "Ce", "In", "Tl", "Tl", "Tl", "Tl", "Tl"], "frac_coords": [[0.500, 0.750, 0.000], [0.833, 0.751, 0.333], [0.833, 0.249, 0.333], [0.167, 0.751, 0.667], [0.167, 0.249, 0.667], [0.500, 0.250, 0.000], [0.000, 0.000, 0.000], [0.667, 0.500, 0.666], [0.000, 0.500, 0.000], [0.336, 0.000, 0.329], [0.664, 0.000, 0.671], [0.333, 0.500, 0.334]]}

---

No. 18
{"formula": "Ce2TlIn3", "functional": "GGA-PBE", "state": "optimized geometry", "space_group": "Fmmm", "cell": [[6.005, 1.735, 0.000], [0.535, 6.227, 0.000], [-3.270, -3.981, 8.921]], "species": ["In", "In", "In", "In", "In", "In", "Ce", "Ce", "Ce", "Ce", "Tl", "Tl"], "frac_coords": [[0.835, 0.835, 0.670], [0.165, 0.165, 0.330], [0.670, 0.670, 0.835], [0.330, 0.330, 0.165], [0.164, 0.164, 0.835], [0.836, 0.836, 0.165], [0.250, 0.750, 0.500], [0.746, 0.254, 0.000], [0.750, 0.250, 0.500], [0.254, 0.746, 0.000], [0.667, 0.667, 0.334], [0.333, 0.333, 0.666]]}

---

No. 19
{"formula": "Ce2Tl3In3", "functional": "GGA-PBE", "state": "optimized geometry", "space_group": "Pmmm", "cell": [[4.758, 0.000, 0.000], [0.000, 4.767, 0.000], [0.000, 0.000, 9.556]], "species": ["Tl", "Tl", "Tl", "In", "In", "In", "Ce", "Ce"], "frac_coords": [[0.500, 0.500, 0.254], [0.500, 0.500, 0.746], [0.500, 0.000, 0.000], [0.000, 0.500, 0.500], [0.500, 0.000, 0.500], [0.000, 0.500, 0.000], [0.000, 0.000, 0.749], [0.000, 0.000, 0.251]]}

---

No. 20
{"formula": "Ce15TlIn4", "functional": "GGA-PBE", "state": "optimized geometry", "space_group": "P4/mmm", "cell": [[4.817, 0.000, 0.000], [0.000, 4.817, 0.000], [0.000, 0.000, 24.033]], "species": ["In", "In", "In", "In", "Ce", "Ce", "Ce", "Ce", "Ce", "Ce", "Ce", "Ce", "Ce", "Ce", "Ce", "Ce", "Ce", "Ce", "Ce", "Tl"], "frac_coords": [[0.000, 0.000, 0.800], [0.000, 0.000, 0.200], [0.000, 0.000, 0.600], [0.000, 0.000, 0.400], [0.500, 0.000, 0.101], [0.500, 0.500, 0.400], [0.000, 0.500, 0.300], [0.000, 0.500, 0.500], [0.500, 0.000, 0.300], [0.500, 0.500, 0.201], [0.500, 0.500, 0.799], [0.500, 0.000, 0.500], [0.500, 0.500, 0.600], [0.000, 0.500, 0.899], [0.000, 0.500, 0.700], [0.500, 0.000, 0.700], [0.500, 0.500, 0.000], [0.500, 0.000, 0.899], [0.000, 0.500, 0.101], [0.000, 0.000, 0.000]]}

---

No. 21
{"formula": "Ce3TlIn2", "functional": "GGA-PBE", "state": "optimized geometry", "space_group": "P4/mmm", "cell": [[-2.219, 0.758, 2.476], [-2.554, -1.183, -1.926], [1.799, -12.981, 5.586]], "species": ["Tl", "Ce", "Ce", "Ce", "In", "In"], "frac_coords": [[0.500, 0.500, 0.500], [0.000, 0.000, 0.000], [0.000, 0.000, 0.331], [0.000, 0.000, 0.669], [0.500, 0.500, 0.834], [0.500, 0.500, 0.166]]}

---

No. 22
{"formula": "Ce4Tl5In", "functional": "GGA-PBE", "state": "optimized geometry", "de_polymorph_ev_per_atom": 0.000, "space_group": "C2/m", "cell": [[-2.083, -0.284, -4.903], [3.135, -5.816, -0.995], [-6.400, -2.015, 5.739]], "species": ["Ce", "Ce", "Ce", "Ce", "In", "Tl", "Tl", "Tl", "Tl", "Tl"], "frac_coords": [[0.694, 0.328, 0.388], [0.908, 0.176, 0.815], [0.092, 0.824, 0.185], [0.306, 0.672, 0.612], [0.500, 0.000, 0.000], [0.900, 0.659, 0.799], [0.288, 0.168, 0.577], [0.500, 0.500, 0.000], [0.100, 0.341, 0.201], [0.712, 0.832, 0.423]]}

---

No. 23
{"formula": "CeTlIn", "functional": "GGA-PBE", "state": "optimized geometry", "de_polymorph_ev_per_atom": 0.006, "space_group": "P3m1", "cell": [[3.778, 0.000, 0.000], [0.000, 5.071, 0.000], [0.000, -2.535, 4.391]], "species": ["In", "Tl", "Ce"], "frac_coords": [[0.259, 0.333, 0.667], [0.063, 0.000, 0.000], [0.678, 0.667, 0.333]]}

---

No. 24
{"formula": "CeTlIn", "functional": "GGA-PBE", "state": "optimized geometry", "de_polymorph_ev_per_atom": 0.223, "space_group": "P6_3/mmc", "cell": [[5.708, 0.000, 0.000], [-2.854, 4.943, 0.000], [0.000, 0.000, 13.045]], "species": ["Tl", "Tl", "Tl", "Tl", "Ce", "Ce", "Ce", "Ce", "In", "In", "In", "In"], "frac_coords": [[0.000, 0.000, 0.250], [0.333, 0.667, 0.750], [0.000, 0.000, 0.750], [0.667, 0.333, 0.250], [0.667, 0.333, 0.750], [0.000, 0.000, 0.000], [0.333, 0.667, 0.250], [0.000, 0.000, 0.500], [0.667, 0.333, 0.009], [0.333, 0.667, 0.991], [0.667, 0.333, 0.491], [0.333, 0.667, 0.509]]}

---

Summary of M_tot in μB/f.u.
1.00 3.41 2.41 4.21 0.00 3.40 2.42 1.24 6.09 4.60 1.67 1.97 4.52 2.23 1.51 2.21 7.59 1.97 1.82 15.53 3.56 4.25 0.91 1.18
(order as listed above)
Summary of raw total energy in eV per atom
-5.73 -5.61 -4.97 -5.60 -4.91 -5.30 -4.55 -6.27 -4.60 -5.09 -4.31 -3.56 -4.02 -3.71 -3.30 -4.68 -4.44 -4.04 -3.71 -5.30 -4.60 -4.05 -3.93 -3.71
(order as listed above)
Summary of formation enthalpy at 0 K in meV/atom
-101 16 -147 23 -88 -42 -94 7 -303 -61 -125 -258 -44 -88 -87 -98 -264 -296 -314 -180 -322 -217 -250 -33
(order as listed above)